Record 1
Computed, not measured: a relaxed CoTcN2 crystal at the PBE-GGA level of DFT.

a = 2.7879 Å, b = 2.7879 Å, c = 18.6713 Å
α = 90.00°, β = 90.00°, γ = 120.00°
Closest atoms and distances in Å follow each position.
Space group R-3m (No. 166, hexagonal axes)
Inequivalent atoms, fractional coordinates:
1 Co 0.0000 0.0000 0.0000 [3 per cell]  2 N 1.80
2 Tc 0.0000 0.0000 0.5000 [3 per cell]  6 N 2.08
3 N 0.0000 0.0000 0.0963 [6 per cell]  1 Co 1.80

Excess energy over the best structure of this formula in the dataset (eV per formula unit): 0.96
Crystal system: trigonal
Theoretical density (g/cm³): 7.33
Uncorrected energy (eV/atom): -8.25
Raw formation energy (eV per atom): 0.279

***

Record 2
Computed, not measured: a relaxed CoTc2N crystal at the PBE-GGA level of DFT.

a = 4.9555 Å, b = 4.9555 Å, c = 9.3471 Å
α = 90.00°, β = 90.00°, γ = 90.00°
Closest atoms and distances in Å follow each position.
Space group I-42d (No. 122)
Inequivalent atoms, fractional coordinates:
1 Co 0.0000 0.0000 0.0000 [4 per cell]  4 Tc 2.28
2 Tc 0.1951 0.2500 0.6250 [8 per cell]  2 N 1.96
3 N 0.0000 0.0000 0.5000 [4 per cell]  4 Tc 1.96

Crystal system: tetragonal
Theoretical density (g/cm³): 7.78
Uncorrected energy (eV/atom): -8.51
Raw formation energy (eV per atom): 0.535

***

Record 3
Computed, not measured: a relaxed CoTc2N crystal at the PBE-GGA level of DFT.

a = 3.6505 Å, b = 3.6505 Å, c = 12.2605 Å
α = 90.00°, β = 90.00°, γ = 120.00°
Closest atoms and distances in Å follow each position.
Space group R-3m (No. 166, hexagonal axes)
Inequivalent atoms, fractional coordinates:
1 Co 0.0000 0.0000 0.0000 [3 per cell]  8 Tc 2.48-2.77
2 Tc 0.0000 0.0000 0.2263 [6 per cell]  3 N 2.23, 3 Co 2.48
3 N 0.0000 0.0000 0.5000 [3 per cell]  6 Tc 2.23

Crystal system: trigonal
Theoretical density (g/cm³): 9.47
Uncorrected energy (eV/atom): -8.37
Raw formation energy (eV per atom): 0.669